No. 1
Density functional theory data (PBE) for crystalline CrAsOs2I at its relaxed geometry.

```
CrAsOs2I
1.0
-0.187 -4.579 -1.413
3.597 -1.237 3.536
-3.454 -0.852 3.216
Cr I Os As
1 1 2 1
direct
0.500 0.500 0.500
0.000 0.000 0.000
0.000 0.000 0.500
0.500 0.000 0.000
0.000 0.500 0.000
```

The space-group type is P4/mmm, No. 123. As for the crystal system: tetragonal. The total energy comes out at -0.17170 Ha/atom.

No. 2
Density functional theory data (PBE) for crystalline Rb2CrAsI6 at its relaxed geometry.

```
Rb2CrAsI6
1.0
8.257 0.000 0.000
0.000 8.257 0.000
4.128 4.128 5.835
Rb I Cr As
2 6 1 1
direct
0.750 0.250 0.500
0.250 0.750 0.500
0.746 0.746 0.000
0.254 0.254 0.000
0.747 0.747 0.506
0.746 0.254 0.000
0.253 0.253 0.494
0.254 0.746 0.000
0.500 0.500 0.000
0.000 0.000 0.000
```

The space-group type is I4/mmm, No. 139. As for the crystal system: tetragonal. The total energy comes out at -0.11743 Ha/atom.

Q: Number 1 is which compound?
A: CrAsOs2I

Q: What is the formula in the first record?
A: CrAsOs2I